The following is a DFT calculation (PBE) of a relaxed structure of Tm6RuPt3.

Results
**Energy of formation**: -0.832 eV per atom
**Magnetization**: 0.000 Bohr magnetons per cell

Unit cell a=8.0739 b=11.9618 c=4.7865 alpha=90.00 beta=90.00 gamma=90.00
Closest atoms and distances in Å follow each position.
Positions (direct):
Tm 0.0014 0.2433 0.0000  4 Pt 2.87-2.91, 1 Ru 3.07
Tm 0.1507 0.4080 0.5000  2 Ru 2.90, 3 Pt 2.95-3.03
Tm 0.1774 0.0756 0.5000  1 Ru 2.76, 4 Pt 2.91-3.00
Tm 0.3226 0.5756 0.0000  1 Ru 2.76, 4 Pt 2.91-3.00
Tm 0.3493 0.9080 0.0000  2 Ru 2.90, 3 Pt 2.95-3.03
Tm 0.4986 0.7433 0.5000  4 Pt 2.87-2.91, 1 Ru 3.07
Tm 0.5014 0.2567 0.5000  4 Pt 2.87-2.91, 1 Ru 3.07
Tm 0.6507 0.0920 0.0000  2 Ru 2.90, 3 Pt 2.95-3.03
Tm 0.6774 0.4244 0.0000  1 Ru 2.76, 4 Pt 2.91-3.00
Tm 0.8226 0.9244 0.5000  1 Ru 2.76, 4 Pt 2.91-3.00
Tm 0.8493 0.5920 0.5000  2 Ru 2.90, 3 Pt 2.95-3.03
Tm 0.9986 0.7567 0.0000  4 Pt 2.87-2.91, 1 Ru 3.07
Ru 0.0000 0.5000 0.0000  8 Tm 2.76-3.07
Ru 0.5000 0.0000 0.5000  8 Tm 2.76-3.07
Pt 0.0000 0.0000 0.0000  8 Tm 2.91-3.03
Pt 0.1678 0.8321 0.5000  7 Tm 2.87-3.00
Pt 0.3322 0.3321 0.0000  7 Tm 2.87-3.00
Pt 0.5000 0.5000 0.5000  8 Tm 2.91-3.03
Pt 0.6678 0.6679 0.0000  7 Tm 2.87-3.00
Pt 0.8322 0.1679 0.5000  7 Tm 2.87-3.00

The following is a DFT calculation (PBE) of a relaxed structure of URu2Pt.

Results
**E above lowest polymorph**: 205 meV/atom
**Energy of formation**: -0.344 eV per atom
**Magnetization**: 0.000 Bohr magnetons per cell

Unit cell a=4.7399 b=4.7399 c=10.9585 alpha=90.00 beta=90.00 gamma=120.00
Closest atoms and distances in Å follow each position.
Positions (direct):
U 0.0000 0.0000 0.0000  2 Ru 2.31
U 0.3333 0.6667 0.6667  2 Ru 2.31
U 0.6667 0.3333 0.3333  2 Ru 2.31
Ru 0.0000 0.0000 0.2111  1 U 2.31
Ru 0.0000 0.0000 0.7889  1 U 2.31
Ru 0.3333 0.6667 0.4556  1 U 2.31
Ru 0.3333 0.6667 0.8778  1 U 2.31
Ru 0.6667 0.3333 0.1222  1 U 2.31
Ru 0.6667 0.3333 0.5444  1 U 2.31
Pt 0.0000 0.0000 0.5000  6 Ru 2.78
Pt 0.3333 0.6667 0.1667  6 Ru 2.78
Pt 0.6667 0.3333 0.8333  6 Ru 2.78

The following is a DFT calculation (PBE) of a relaxed structure of URu2Pt2.

Results
**Energy of formation**: -0.074 eV per atom
**Magnetization**: 2.797 Bohr magnetons per cell

Unit cell a=3.7392 b=3.7392 c=12.9089 alpha=90.00 beta=90.00 gamma=90.00
Closest atoms and distances in Å follow each position.
Positions (direct):
U 0.0000 0.0000 0.0000  8 Pt 2.94
U 0.5000 0.5000 0.5000  8 Pt 2.94
Ru 0.0000 0.5000 0.2500  4 Ru 2.64, 4 Pt 2.69
Ru 0.0000 0.5000 0.7500  4 Ru 2.64, 4 Pt 2.69
Ru 0.5000 0.0000 0.2500  4 Ru 2.64, 4 Pt 2.69
Ru 0.5000 0.0000 0.7500  4 Ru 2.64, 4 Pt 2.69
Pt 0.0000 0.0000 0.3996  1 Pt 2.59, 4 Ru 2.69
Pt 0.0000 0.0000 0.6004  1 Pt 2.59, 4 Ru 2.69
Pt 0.5000 0.5000 0.1004  1 Pt 2.59, 4 Ru 2.69
Pt 0.5000 0.5000 0.8996  1 Pt 2.59, 4 Ru 2.69

Number 1: calculated total energy -125.1 eV for the cell shown. Number 2: calculated total energy -111.8 eV for the cell shown. Number 3: calculated total energy -84.6 eV for the cell shown.